1.
# RbTl2TeF GGA-PBE relaxed
# Density in g cm⁻³: 6.00
# Excess energy over the best structure of this formula in the dataset in eV per atom: 0.000
# Formation energy from raw total energies in eV per formula unit: -5.98
data_RbTl2TeF
_symmetry_space_group_name_H-M 'P 1'
_symmetry_Int_Tables_number 1
_cell_length_a 4.697
_cell_length_b 7.841
_cell_length_c 9.685
_cell_angle_alpha 96.24
_cell_angle_beta 90.00
_cell_angle_gamma 90.00
loop_
_symmetry_equiv_pos_as_xyz
'x,y,z'
loop_
_atom_site_label
_atom_site_type_symbol
_atom_site_fract_x
_atom_site_fract_y
_atom_site_fract_z
_atom_site_occupancy
Tl1 Tl 0.750 0.849 0.621 1
Tl2 Tl 0.250 0.622 0.367 1
Tl3 Tl 0.750 0.378 0.633 1
Tl4 Tl 0.250 0.151 0.379 1
Rb1 Rb 0.750 0.299 0.041 1
Rb2 Rb 0.250 0.701 0.959 1
F1 F 0.750 0.549 0.859 1
F2 F 0.250 0.451 0.141 1
Te1 Te 0.250 0.115 0.726 1
Te2 Te 0.750 0.885 0.274 1

***

2.
# AgW2 GGA-PBE relaxed
# Density in g cm⁻³: 15.81
# Excess energy over the best structure of this formula in the dataset in eV per atom: 0.045
data_AgW2
_symmetry_space_group_name_H-M 'P 1'
_symmetry_Int_Tables_number 1
_cell_length_a 5.397
_cell_length_b 5.397
_cell_length_c 7.340
_cell_angle_alpha 75.76
_cell_angle_beta 75.76
_cell_angle_gamma 28.89
loop_
_symmetry_equiv_pos_as_xyz
'x,y,z'
loop_
_atom_site_label
_atom_site_type_symbol
_atom_site_fract_x
_atom_site_fract_y
_atom_site_fract_z
_atom_site_occupancy
W1 W 0.037 0.037 0.680 1
W2 W 0.963 0.963 0.320 1
W3 W 0.306 0.306 0.643 1
W4 W 0.694 0.694 0.357 1
Ag1 Ag 0.635 0.635 0.977 1
Ag2 Ag 0.365 0.365 0.023 1